VASP calculation (GGA-PBE) on an optimized crystal structure of K2PbF. Values from VASP.

Calculated values
volume	288	Å³/cell
uncorrected formation energy	-1172.6	meV/atom
spin magnetization	0.0	μB per formula unit
SG	I-42d
DOS(E_F)	0.123	states/eV per atom

Structure (Quantum ESPRESSO input):
```
&SYSTEM
  ibrav = 0, nat = 8, ntyp = 3
/
ATOMIC_SPECIES
K 39.10 K.upf
Pb 207.20 Pb.upf
F 19.00 F.upf
CELL_PARAMETERS angstrom
-3.8744 3.8744 4.7951
3.8744 -3.8744 4.7951
3.8744 3.8744 -4.7951
ATOMIC_POSITIONS crystal
K 0.3750 0.2492 0.3742
K 0.7508 0.1250 0.1258
K 0.8750 0.0008 0.6258
K 0.9992 0.6250 0.8742
Pb 0.2500 0.7500 0.5000
Pb 0.5000 0.5000 0.0000
F 0.0000 0.0000 0.0000
F 0.7500 0.2500 0.5000
```